Record 1
VASP calculation (PBE-GGA) on a relaxed Y2AuCl crystal.

Cell: 5.122 5.122 5.122 Å, 60.00 60.00 60.00°
Positions (direct):
Y 0.250 0.250 0.250
Y 0.750 0.750 0.750
Au 0.500 0.500 0.500
Cl 0.000 0.000 0.000

Output
VASP energy, eV for the cell shown: -21.311
Excess energy over the best structure of this formula in the dataset, meV/atom: 253
Space group: Fm-3m (225)
Total moment, μB per formula unit: 0.0
Crystal system: cubic
Calculated volume, Å³/atom: 23.76

Record 2
VASP calculation (PBE-GGA) on a relaxed Y2AuCl2 crystal.

Cell: 8.219 8.219 3.249 Å, 90.00 90.00 90.00°
Positions (direct):
Y 0.182 0.682 0.500
Y 0.682 0.818 0.500
Y 0.818 0.318 0.500
Y 0.318 0.182 0.500
Au 0.000 0.000 0.000
Au 0.500 0.500 0.000
Cl 0.378 0.878 0.000
Cl 0.878 0.622 0.000
Cl 0.622 0.122 0.000
Cl 0.122 0.378 0.000

Output
VASP energy, eV for the cell shown: -49.596
Excess energy over the best structure of this formula in the dataset, meV/atom: 210
Space group: P4/mbm (127)
Total moment, μB per formula unit: 0.0
Crystal system: tetragonal
Calculated volume, Å³/atom: 21.95

Record 3
VASP calculation (PBE-GGA) on a relaxed Y2AuCl crystal.

Cell: 4.110 4.110 7.510 Å, 74.00 74.00 59.84°
Positions (direct):
Au 0.250 0.250 0.250
Cl 0.750 0.750 0.750
Y 0.994 0.994 0.021
Y 0.506 0.506 0.479

Output
VASP energy, eV for the cell shown: -22.253
Excess energy over the best structure of this formula in the dataset, meV/atom: 17
Space group: C2/m (12)
Total moment, μB per formula unit: 0.0
Crystal system: monoclinic
Calculated volume, Å³/atom: 26.00

Record 4
VASP calculation (PBE-GGA) on a relaxed Y2AuCl2 crystal.

Cell: 7.583 7.583 7.583 Å, 148.03 148.03 45.85°
Each line ends with the local moment (μB).
Positions (direct):
Y 0.616 0.616 0.000  0.06
Y 0.384 0.384 0.000  0.06
Au 0.000 0.000 0.000  0.01
Cl 0.250 0.750 0.500  0.00
Cl 0.750 0.250 0.500  0.00

Output
VASP energy, eV for the cell shown: -25.850
Excess energy over the best structure of this formula in the dataset, meV/atom: 0
Space group: I4/mmm (139)
Total moment, μB per formula unit: 0.2
Crystal system: tetragonal
Calculated volume, Å³/atom: 24.37

Record 5
VASP calculation (PBE-GGA) on a relaxed Y2AuCl crystal.

Cell: 7.371 7.371 3.821 Å, 90.23 90.23 30.36°
Positions (direct):
Au 0.544 0.544 0.378
Cl 0.779 0.779 0.873
Y 0.972 0.972 0.878
Y 0.205 0.205 0.372

Output
VASP energy, eV for the cell shown: -22.154
Excess energy over the best structure of this formula in the dataset, meV/atom: 42
Space group: Cm (8)
Total moment, μB per formula unit: 0.0
Crystal system: monoclinic
Calculated volume, Å³/atom: 26.23

Record 6
VASP calculation (PBE-GGA) on a relaxed Y2AuCl crystal.

Cell: 7.815 7.815 7.815 Å, 153.14 151.22 39.77°
Positions (direct):
Au 0.454 0.454 0.000
Cl 0.205 0.705 0.500
Y 0.035 0.035 0.000
Y 0.806 0.306 0.500

Output
VASP energy, eV for the cell shown: -21.871
Excess energy over the best structure of this formula in the dataset, meV/atom: 113
Space group: Imm2 (44)
Total moment, μB per formula unit: 0.0
Crystal system: orthorhombic
Calculated volume, Å³/atom: 25.91

Record 7
VASP calculation (PBE-GGA) on a relaxed Y2AuCl crystal.

Cell: 10.332 10.332 10.332 Å, 20.75 20.75 20.75°
Each line ends with the local moment (μB).
Positions (direct):
Au 0.514 0.514 0.514  0.02
Cl 0.732 0.732 0.732  0.00
Y 0.007 0.007 0.007  0.34
Y 0.246 0.246 0.246  0.23

Output
VASP energy, eV for the cell shown: -21.386
Excess energy over the best structure of this formula in the dataset, meV/atom: 234
Space group: R3m (160)
Total moment, μB per formula unit: 1.2
Crystal system: trigonal
Calculated volume, Å³/atom: 30.31

Record 8
VASP calculation (PBE-GGA) on a relaxed YAuCl3 crystal.

Cell: 5.118 5.118 5.118 Å, 90.00 90.00 90.00°
Each line ends with the local moment (μB).
Positions (direct):
Y 0.500 0.500 0.500  0.65
Au 0.000 0.000 0.000  0.01
Cl 0.000 0.500 0.000  0.01
Cl 0.000 0.000 0.500  0.00
Cl 0.500 0.000 0.000  0.00

Output
VASP energy, eV for the cell shown: -17.014
Excess energy over the best structure of this formula in the dataset, meV/atom: 861
Space group: Pm-3m (221)
Total moment, μB per formula unit: 1.1
Crystal system: cubic
Calculated volume, Å³/atom: 26.81

Record 9
VASP calculation (PBE-GGA) on a relaxed YAuCl4 crystal.

Cell: 5.760 5.760 5.760 Å, 60.00 60.00 60.00°
Each line ends with the local moment (μB).
Positions (direct):
Y 0.750 0.750 0.750  0.01
Au 0.000 0.000 0.000  0.04
Cl 0.876 0.375 0.375  0.35
Cl 0.375 0.375 0.876  0.35
Cl 0.375 0.876 0.375  0.35
Cl 0.375 0.375 0.375  0.35

Output
VASP energy, eV for the cell shown: -17.978
Space group: F-43m (216)
Total moment, μB per formula unit: 1.7
Crystal system: cubic
Calculated volume, Å³/atom: 22.52

Record 10
VASP calculation (PBE-GGA) on a relaxed Y2AuCl crystal.

Cell: 3.540 3.638 7.933 Å, 89.95 90.00 90.00°
Positions (direct):
Au 0.500 0.250 0.250
Cl 0.500 0.750 0.750
Y 0.000 0.750 0.030
Y 0.000 0.750 0.470

Output
VASP energy, eV for the cell shown: -22.231
Excess energy over the best structure of this formula in the dataset, meV/atom: 23
Space group: Pmmm (47)
Total moment, μB per formula unit: 0.0
Crystal system: orthorhombic
Calculated volume, Å³/atom: 25.55

Record 11
VASP calculation (PBE-GGA) on a relaxed YZn2AuCl crystal.

Cell: 4.748 6.013 4.748 Å, 90.00 90.00 90.00°
Positions (direct):
Y 0.500 0.500 0.500
Zn 0.000 0.000 0.500
Zn 0.500 0.000 0.000
Au 0.000 0.000 0.000
Cl 0.000 0.500 0.000

Output
VASP energy, eV for the cell shown: -13.930
Space group: P4/mmm (123)
Total moment, μB per formula unit: 0.0
Crystal system: tetragonal
Calculated volume, Å³/atom: 27.11

Record 12
VASP calculation (PBE-GGA) on a relaxed ZnAu2Cl crystal.

Cell: 3.790 3.790 5.764 Å, 90.00 90.00 90.00°
Positions (direct):
Au 0.000 0.000 0.000
Au 0.500 0.500 0.000
Cl 0.500 0.000 0.500
Zn 0.000 0.500 0.500

Output
VASP energy, eV for the cell shown: -9.422
Excess energy over the best structure of this formula in the dataset, meV/atom: 357
Space group: P4/mmm (123)
Total moment, μB per formula unit: 0.0
Crystal system: tetragonal
Calculated volume, Å³/atom: 20.70

Record order is preserved below.
Formation energy from raw total energies: -0.81 -0.98 -1.05 -1.19 -1.03 -0.95 -0.83 -0.35 -0.14 -1.04 0.04 0.06 eV/atom